{"formula": "Tl2CoRe", "functional": "PBE-GGA", "state": "relaxed", "space_group": "I-42d (122)", "delta_e_f_ev_per_atom": 1.322, "polymorph_energy_ev_per_fu": 3.04, "energy_ev_per_atom": -4.750, "lattice": [[-2.041, 2.041, 9.710], [2.041, -2.041, 9.710], [2.041, 2.041, -9.710]], "species": ["Tl", "Tl", "Tl", "Tl", "Co", "Co", "Re", "Re"], "fractional_positions": [[0.124, 0.625, 0.999], [0.375, 0.374, 0.499], [0.626, 0.125, 0.001], [0.875, 0.876, 0.501], [0.000, 0.000, 0.000], [0.750, 0.250, 0.500], [0.250, 0.750, 0.500], [0.500, 0.500, 0.000]]}